First-principles (PBE) data for NaSbAu4 after structural relaxation, as listed in the Alexandria database.

Space group: P-1
E_form (uncorrected) in eV per atom: -0.109
Calculated volume in A^3/atom: 21.26
Total magnetization in μB/f.u.: 0.0
DOS(E_F) in states/eV/cell: 3.96

Unit cell a=5.3331 b=8.0343 c=7.8654 alpha=102.94 beta=119.88 gamma=60.86
Fractional coordinates of all 12 atoms:
Na1 0.8988 0.7639 0.9189
Na2 0.1012 0.2361 0.0811
Sb1 0.5000 0.0000 0.5000
Sb2 0.0000 0.5000 0.5000
Au1 0.4095 0.2125 0.8339
Au2 0.5280 0.4363 0.1635
Au3 0.5905 0.7875 0.1661
Au4 0.4720 0.5637 0.8365
Au5 0.1555 0.9528 0.7590
Au6 0.3054 0.6959 0.4418
Au7 0.8445 0.0472 0.2410
Au8 0.6946 0.3041 0.5582